(1)
Here is a relaxed PrNb4N6 crystal from the Alexandria database. Energies are from PBE.

The spin magnetization comes out at 0.00 Bohr magnetons per cell. The uncorrected formation energy comes out at -24.27 kcal/mol of atoms. For the total energy, the calculation gives -213.2 eV for the cell shown.

Lattice parameters (Å, degrees): 3.190 5.440 15.910 90.00 90.00 107.05
Fractional positions:
N 0.033 0.067 0.154
N 0.659 0.318 0.750
N 0.033 0.067 0.346
Nb 0.854 0.707 0.958
N 0.500 0.000 0.500
N 0.764 0.528 0.092
Nb 0.146 0.293 0.042
N 0.967 0.933 0.654
Nb 0.603 0.205 0.871
N 0.236 0.472 0.592
Nb 0.397 0.795 0.129
Nb 0.603 0.205 0.629
Pr 0.653 0.306 0.250
N 0.500 0.000 0.000
Nb 0.397 0.795 0.371
N 0.967 0.933 0.846
N 0.764 0.528 0.408
Pr 0.347 0.694 0.750
N 0.341 0.682 0.250
N 0.236 0.472 0.908
Nb 0.854 0.707 0.542
Nb 0.146 0.293 0.458



(2)
Here is a relaxed Tl4Br3Cl crystal from the Alexandria database. Energies are from PBE.

The calculation puts the polymorph energy (0 for the lowest one) at 45 meV/atom. The spin magnetization comes out at 0.00 Bohr magnetons per cell. The uncorrected formation energy comes out at -19.69 kcal/mol of atoms. For the total energy, the calculation gives -23.2 eV for the cell shown.

Lattice parameters (Å, degrees): 3.998 3.998 15.989 90.00 90.00 90.00
Fractional positions:
Cl 0.500 0.500 0.000
Br 0.500 0.500 0.246
Tl 0.000 0.000 0.119
Tl 0.000 0.000 0.373
Tl 0.000 0.000 0.881
Br 0.500 0.500 0.500
Br 0.500 0.500 0.754
Tl 0.000 0.000 0.627



(3)
Here is a relaxed NbCrW crystal from the Alexandria database. Energies are from PBE.

The calculation puts the polymorph energy (0 for the lowest one) at 4 meV/atom. The spin magnetization comes out at 0.00 Bohr magnetons per cell. Its formation energy is 0.026 eV/atom. For the total energy, the calculation gives -130.3 eV for the cell shown.

Lattice parameters (Å, degrees): 4.457 3.122 13.230 90.00 90.00 90.00
Fractional positions:
Cr 0.000 0.500 0.597
Cr 0.000 0.000 0.097
Nb 0.000 0.500 0.259
Cr 0.500 0.000 0.933
W 0.500 0.000 0.594
Nb 0.000 0.000 0.438
W 0.500 0.000 0.267
Nb 0.000 0.500 0.938
W 0.500 0.500 0.767
W 0.500 0.500 0.094
Cr 0.500 0.500 0.433
Nb 0.000 0.000 0.759



(4)
Here is a relaxed SrCoTc3 crystal from the Alexandria database. Energies are from PBE.

The calculation puts the polymorph energy (0 for the lowest one) at 0 meV/atom. The spin magnetization comes out at 0.03 Bohr magnetons per cell. Its formation energy is 1.161 eV/atom. For the total energy, the calculation gives -34.1 eV for the cell shown.

Lattice parameters (Å, degrees): 4.582 4.582 4.582 90.00 90.00 90.00
Fractional positions:
Tc 0.500 0.000 0.000
Tc 0.000 0.500 0.000
Tc 0.000 0.000 0.500
Co 0.000 0.000 0.000
Sr 0.500 0.500 0.500



(5)
Here is a relaxed CeErScSe3 crystal from the Alexandria database. Energies are from PBE.

The spin magnetization comes out at 2.11 Bohr magnetons per cell. The uncorrected formation energy comes out at -36.17 kcal/mol of atoms. For the total energy, the calculation gives -73.4 eV for the cell shown.

Lattice parameters (Å, degrees): 4.009 7.953 9.782 104.85 90.00 90.00
Fractional positions:
Ce 0.750 0.808 0.782
Se 0.250 0.087 0.884
Er 0.750 0.333 0.906
Se 0.750 0.208 0.456
Ce 0.250 0.192 0.218
Er 0.250 0.667 0.094
Sc 0.250 0.152 0.617
Sc 0.750 0.848 0.383
Se 0.750 0.913 0.116
Se 0.750 0.487 0.205
Se 0.250 0.513 0.795
Se 0.250 0.792 0.544



(6)
Here is a relaxed ZrGaPb crystal from the Alexandria database. Energies are from PBE.

The calculation puts the polymorph energy (0 for the lowest one) at 0 meV/atom. The spin magnetization comes out at 0.00 Bohr magnetons per cell. Its formation energy is -0.198 eV/atom. For the total energy, the calculation gives -63.5 eV for the cell shown.

Lattice parameters (Å, degrees): 6.177 4.170 10.833 90.00 101.15 90.00
Fractional positions:
Zr 0.410 0.500 0.839
Zr 0.590 0.500 0.161
Ga 0.887 0.000 0.270
Pb 0.749 0.500 0.475
Ga 0.887 0.500 0.770
Ga 0.113 0.500 0.230
Ga 0.113 0.000 0.730
Zr 0.410 0.000 0.339
Zr 0.590 0.000 0.661
Pb 0.251 0.500 0.525
Pb 0.749 0.000 0.975
Pb 0.251 0.000 0.025



(7)
Here is a relaxed Ho3TmAl8 crystal from the Alexandria database. Energies are from PBE.

The calculation puts the polymorph energy (0 for the lowest one) at 9 meV/atom. The spin magnetization comes out at 0.00 Bohr magnetons per cell. Its formation energy is -0.502 eV/atom. For the total energy, the calculation gives -54.2 eV for the cell shown.

Lattice parameters (Å, degrees): 5.529 5.529 9.065 90.00 90.00 120.00
Fractional positions:
Al 0.505 0.495 0.749
Al 0.505 0.009 0.749
Ho 0.000 0.000 0.932
Al 0.676 0.838 0.250
Al 0.162 0.838 0.250
Al 0.333 0.667 0.500
Al 0.162 0.324 0.250
Ho 0.667 0.333 0.068
Al 0.991 0.495 0.749
Al 0.333 0.667 0.000
Tm 0.000 0.000 0.567
Ho 0.667 0.333 0.433